Below is crystalline Ba2ScCr at its relaxed geometry, with properties calculated at the PBE-GGA level.

Summary:
**Polymorph energy (0 for the lowest one)**: 0.40 eV/f.u.
**Symmetry**: Imm2, No. 44

Cell lengths 7.1078, 7.1078, 7.1078 Å; angles 147.61, 128.85, 61.85 degrees
Last column: magnetic moment on the atom in μB.
Fractional positions:
Sc: 0.3068 0.8068 0.5000  0.30
Cr: 0.4701 0.4701 0.0000  -3.68
Ba: 0.0098 0.0098 0.0000  0.05
Ba: 0.7133 0.2133 0.5000  0.10